# Pm6ErSi4

A geometry-optimized Pm6ErSi4 structure (PBE, Alexandria via LeMat-Bulk).

abc: 9.2312 9.2312 4.0298
angles: 90.00 90.00 120.00
Space group P-6m2 (No. 187)
One atom of each set of equivalent atoms:
Pm: 0.1951 0.3902 0.0000 [3 per cell]
Pm: 0.5408 0.0816 0.5000 [3 per cell]
Er: 0.0000 0.0000 0.5000 [1 per cell]
Si: 0.3241 0.1621 0.0000 [3 per cell]
Si: 0.3333 0.6667 0.5000 [1 per cell]

Results
Its energy is -5.40 eV per atom. As for the energy relative to the elements, uncorrected: -0.426 eV/atom. The calculation puts the density of states at the Fermi level at 12.1 states/eV/f.u.